(1)
# TaIn2Tc

A relaxed structure of TaIn2Tc (PBE, the Alexandria database).

Properties
Volume = 18.8 Å³/atom
Space-group type = No. 71
Distance to the lowest polymorph of the same formula = 0.228 eV per atom
Energy relative to the elements = 118 kJ/mol of formula units

abc: 3.278 4.821 9.507
angles: 90.00 90.00 90.00
Fractional positions:
Ta (0.000, 0.000, 0.000)
Ta (0.500, 0.500, 0.500)
In (0.000, 0.500, 0.239)
In (0.000, 0.500, 0.761)
In (0.500, 0.000, 0.261)
In (0.500, 0.000, 0.739)
Tc (0.000, 0.000, 0.500)
Tc (0.500, 0.500, 0.000)

(2)
# PuGa2Te

A relaxed structure of PuGa2Te (PBE, the Alexandria database).

Properties
Volume = 28.7 Å³/atom
Space-group type = No. 166
Formation energy from raw total energies = 0.239 eV per atom
Distance to the lowest polymorph of the same formula = 0.676 eV per atom

abc: 3.631 3.631 30.141
angles: 90.00 90.00 120.00
Fractional positions:
Pu (0.000, 0.000, 0.000)
Pu (0.333, 0.667, 0.667)
Pu (0.667, 0.333, 0.333)
Ga (0.000, 0.000, 0.100)
Ga (0.000, 0.000, 0.900)
Ga (0.333, 0.667, 0.566)
Ga (0.333, 0.667, 0.767)
Ga (0.667, 0.333, 0.233)
Ga (0.667, 0.333, 0.434)
Te (0.000, 0.000, 0.500)
Te (0.333, 0.667, 0.167)
Te (0.667, 0.333, 0.833)

(3)
# TiZnIN2

A relaxed structure of TiZnIN2 (PBE, the Alexandria database).

Properties
Volume = 16.9 Å³/atom
Space-group type = No. 123
Formation energy from raw total energies = 1.458 eV per atom
Distance to the lowest polymorph of the same formula = 1.112 eV per atom

abc: 3.945 3.945 5.429
angles: 90.00 90.00 90.00
Fractional positions:
Ti (0.000, 0.000, 0.000)
Zn (0.500, 0.500, 0.500)
I (0.500, 0.500, 0.000)
N (0.000, 0.500, 0.500)
N (0.500, 0.000, 0.500)

(4)
# La4SmGa4

A relaxed structure of La4SmGa4 (PBE, the Alexandria database).

Properties
Volume = 30.2 Å³/atom
Space-group type = No. 87
Energy relative to the elements = -354 kJ/mol of formula units

abc: 7.840 7.840 7.840
angles: 95.61 95.61 143.56
Fractional positions:
La (0.136, 0.648, 0.785)
La (0.352, 0.136, 0.488)
La (0.648, 0.864, 0.512)
La (0.864, 0.352, 0.215)
Sm (0.000, 0.000, 0.000)
Ga (0.335, 0.431, 0.766)
Ga (0.431, 0.665, 0.097)
Ga (0.569, 0.335, 0.903)
Ga (0.665, 0.569, 0.234)

(5)
# Mn2ZnHg

A relaxed structure of Mn2ZnHg (PBE, the Alexandria database).

Properties
Volume = 15.8 Å³/atom
Space-group type = No. 123
Distance to the lowest polymorph of the same formula = 0.053 eV per atom
Energy relative to the elements = 94 kJ/mol of formula units

abc: 4.019 4.019 3.903
angles: 90.00 90.00 90.00
Fractional positions:
Mn (0.000, 0.500, 0.000)
Mn (0.500, 0.000, 0.000)
Zn (0.000, 0.000, 0.500)
Hg (0.500, 0.500, 0.500)

(6)
# TbSm3Y2

A relaxed structure of TbSm3Y2 (PBE, the Alexandria database).

Properties
Volume = 33.0 Å³/atom
Space-group type = No. 2
Energy relative to the elements = 1 kJ/mol of formula units

abc: 7.253 7.255 8.946
angles: 78.23 78.28 60.02
Fractional positions:
Tb (0.250, 0.250, 0.000)
Tb (0.750, 0.750, 0.000)
Sm (0.139, 0.138, 0.666)
Sm (0.250, 0.750, 0.000)
Sm (0.361, 0.862, 0.333)
Sm (0.639, 0.138, 0.667)
Sm (0.750, 0.250, 0.000)
Sm (0.861, 0.862, 0.334)
Y (0.139, 0.638, 0.667)
Y (0.360, 0.362, 0.334)
Y (0.640, 0.638, 0.666)
Y (0.861, 0.362, 0.333)